A plane-wave DFT calculation with PBE was carried out for a relaxed structure of AcDy2Tc.

Cell and atoms, written as POSCAR:
```
AcDy2Tc
1.0
3.532 0.000 0.000
0.000 3.532 0.000
0.000 0.000 9.426
Dy Tc Ac
2 1 1
Direct
0.000 0.000 0.172
0.000 0.000 0.828
0.500 0.500 0.000
0.500 0.500 0.500
```

Calculated values
As for the density of states at the Fermi level: 1.97 states/eV/atom. The value obtained for the energy above the lowest structure with this stoichiometry is 0 meV/atom. As for the formation energy from the elements: 1.3 kcal/mol of atoms.